[1]
A plane-wave DFT calculation with PBE was carried out for an optimized crystal structure of NaTl2Cu2I6.

a = 12.0855 Å, b = 8.1193 Å, c = 9.8987 Å
α = 90.00°, β = 109.69°, γ = 90.00°
Last column: nearest neighbours and their distance in Å.
Space group C2/m (No. 12)
Symmetry-distinct sites (fractional):
Na (0.0000, 0.0000, 0.0000) (multiplicity 2)  6 I 3.15-3.39
Tl (0.1844, 0.0000, 0.6404) (multiplicity 4)  7 I 3.42-3.82
Cu (0.0420, 0.5000, 0.8036) (multiplicity 4)  3 I 2.48-2.52
I (0.0671, 0.2386, 0.2978) (multiplicity 8)  1 Cu 2.52
I (0.2379, 0.5000, 0.9937) (multiplicity 4)  1 Cu 2.48

Calculated values
Uncorrected formation energy in meV per atom: -480
V in Å³/cell: 914.53
Calculated total energy in eV per atom: -2.6207



[2]
A plane-wave DFT calculation with PBE was carried out for an optimized crystal structure of La2NdHoEr5.

a = 8.6712 Å, b = 8.6712 Å, c = 15.6832 Å
α = 90.00°, β = 90.00°, γ = 90.00°
Last column: nearest neighbours and their distance in Å.
Space group I4/mcm (No. 140)
Symmetry-distinct sites (fractional):
La (0.1172, 0.3828, 0.0000) (multiplicity 8)  1 La 2.87, 2 Er 3.02
Nd (0.0000, 0.0000, 0.2500) (multiplicity 4)  10 Er 3.54-3.92
Ho (0.0000, 0.5000, 0.2500) (multiplicity 4)  4 Er 3.14
Er (0.0000, 0.0000, 0.0000) (multiplicity 4)  4 La 3.47, 8 Er 3.80
Er (0.2152, 0.2848, 0.3591) (multiplicity 16)  1 La 3.02, 1 Ho 3.14

Calculated values
Energy of formation from the pure elements in eV/atom: 0.26
V in Å³/cell: 1179.20
Calculated total energy in eV per atom: -4.4109